Computed, not measured: a relaxed CdIrW2 crystal at the PBEsol level of DFT.

Its symmetry is P4mm. As for the formation energy: 157 meV per atom. The calculation puts the total moment at 0.0 μB per cell. The volume comes out at 16.099 Å³ per atom.

Lattice parameters (Å, degrees): 2.784 2.784 8.308 90.00 90.00 90.00
Fractional positions:
W 0.000 0.000 0.979
W 0.500 0.500 0.239
Cd 0.000 0.000 0.512
Ir 0.500 0.500 0.770